VASP calculation (PBE) on NaSr2H6Os after structural relaxation.

Summary:
The calculation puts the calculated total energy at -160.086 eV/cell.

The structure in CIF format:
```
data_NaSr2H6Os
_chemical_formula_sum 'Na4 Sr8 H24 Os4'
_space_group_name_H-M_alt 'F m -3 m'
_space_group_IT_number 225
_space_group_name_Hall '-F 4 2 3'
_cell_length_a 7.846
_cell_length_b 7.846
_cell_length_c 7.846
_cell_angle_alpha 90.00
_cell_angle_beta 90.00
_cell_angle_gamma 90.00
loop_
_atom_site_label
_atom_site_fract_x
_atom_site_fract_y
_atom_site_fract_z
Na1 0.000 0.000 0.000
Sr1 0.250 0.250 0.250
H1 0.000 0.000 0.278
Os1 0.000 0.000 0.500
```


VASP calculation (PBE) on Na3H6Pd after structural relaxation.

Summary:
The calculation puts the calculated total energy at -122.676 eV/cell.

The structure in CIF format:
```
data_Na3H6Pd
_chemical_formula_sum 'Na12 H24 Pd4'
_space_group_name_H-M_alt 'F m -3 m'
_space_group_IT_number 225
_space_group_name_Hall '-F 4 2 3'
_cell_length_a 7.578
_cell_length_b 7.578
_cell_length_c 7.578
_cell_angle_alpha 90.00
_cell_angle_beta 90.00
_cell_angle_gamma 90.00
loop_
_atom_site_label
_atom_site_fract_x
_atom_site_fract_y
_atom_site_fract_z
Na1 0.000 0.000 0.000
Na2 0.250 0.250 0.250
H1 0.000 0.000 0.277
Pd1 0.000 0.000 0.500
```


VASP calculation (PBE) on NaHPd3 after structural relaxation.

Summary:
The calculation puts the calculated total energy at -41.923 eV/cell.

The structure in CIF format:
```
data_NaHPd3
_chemical_formula_sum 'Na2 H2 Pd6'
_space_group_name_H-M_alt 'A m m 2'
_space_group_IT_number 38
_cell_length_a 2.799
_cell_length_b 5.671
_cell_length_c 8.401
_cell_angle_alpha 90.00
_cell_angle_beta 90.00
_cell_angle_gamma 90.00
loop_
_space_group_symop_operation_xyz
'x,y,z'
'-x,-y,z'
'-x,y,z'
'x,-y,z'
'x,y+1/2,z+1/2'
'-x,-y+1/2,z+1/2'
'-x,y+1/2,z+1/2'
'x,-y+1/2,z+1/2'
loop_
_atom_site_label
_atom_site_fract_x
_atom_site_fract_y
_atom_site_fract_z
Na1 0.000 0.000 0.000
H1 0.000 0.000 0.295
Pd1 0.000 0.000 0.513
Pd2 0.500 0.249 0.253
```